No. 1
FeTeAuN2 PBE optimized geometry; formation energy (no corrections) = 1809.2 meV/atom; raw total energy = -4.50 eV/atom; energy above the lowest structure with this stoichiometry = 929 meV per atom; total moment = 1.33 μB per atom
1.0
3.918 0.000 0.000
0.000 3.918 0.000
0.000 0.000 7.984
Te Au Fe N
1 1 1 2
Direct
0.000 0.000 0.500
0.000 0.000 0.000
0.500 0.500 0.500
0.000 0.500 0.000
0.500 0.000 0.000

=====

No. 2
FeTe2AuN PBE optimized geometry; formation energy (no corrections) = 1282.0 meV/atom; raw total energy = -3.99 eV/atom; energy above the lowest structure with this stoichiometry = 1017 meV per atom; total moment = 0.61 μB per atom
1.0
5.684 0.000 0.000
0.000 5.684 0.000
0.000 0.000 3.745
Te Au Fe N
2 1 1 1
Direct
0.000 0.500 0.000
0.500 0.000 0.000
0.000 0.000 0.000
0.500 0.500 0.500
0.000 0.000 0.500

=====

No. 3
FeTeAuN2 PBE optimized geometry; formation energy (no corrections) = 880.1 meV/atom; raw total energy = -5.43 eV/atom; energy above the lowest structure with this stoichiometry = 0 meV per atom; total moment = 0.00 μB per atom
1.0
-2.769 2.015 1.464
-1.893 -0.280 -3.196
-2.469 -4.757 1.879
Te Au Fe N
1 1 1 2
Direct
0.000 0.000 0.500
0.500 0.500 0.500
0.000 0.000 0.000
0.000 0.500 0.000
0.500 0.000 0.000

=====

No. 4
V2FeAuN PBE optimized geometry; formation energy (no corrections) = -397.0 meV/atom; raw total energy = -8.06 eV/atom; total moment = 0.30 μB per atom
1.0
-0.277 2.848 2.750
-3.800 -0.963 0.615
1.090 -2.547 2.747
N Au Fe V
1 1 1 2
Direct
0.000 0.000 0.000
0.500 0.500 0.500
0.000 0.000 0.500
0.000 0.500 0.000
0.500 0.000 0.000